# Pr2Ni3Sb4Ru | Alexandria via LeMat-Bulk | PBE | optimized geometry
data_Pr2Ni3Sb4Ru
_chemical_formula_sum 'Pr2 Ni3 Sb4 Ru1'
_symmetry_space_group_name_H-M 'P -4 m 2'
_symmetry_Int_Tables_number 115
_cell_length_a 4.5052
_cell_length_b 4.5052
_cell_length_c 10.1818
_cell_angle_alpha 90.00
_cell_angle_beta 90.00
_cell_angle_gamma 90.00
loop_
_symmetry_equiv_pos_as_xyz
'x,y,z'
'y,-x,-z'
'-x,-y,z'
'-y,x,-z'
'-x,y,z'
'-y,-x,-z'
'x,-y,z'
'y,x,-z'
loop_
_atom_site_label
_atom_site_fract_x
_atom_site_fract_y
_atom_site_fract_z
Pr1 0.0000 0.5000 0.2454
Ni1 0.0000 0.0000 0.0000
Ni2 0.0000 0.5000 0.6207
Sb1 0.0000 0.0000 0.5000
Sb2 0.0000 0.5000 0.8672
Sb3 0.5000 0.5000 0.5000
Ru1 0.5000 0.5000 0.0000
# calculated density: 8.40 Mg/m³
# magnetization: 0.00 μB/cell
# total energy: -5.8531 eV/atom
# formation energy from raw total energies: -5.86 eV per formula unit



# Pr2Si4Ni3Ru | Alexandria via LeMat-Bulk | PBE | optimized geometry
data_Pr2Si4Ni3Ru
_chemical_formula_sum 'Pr2 Si4 Ni3 Ru1'
_symmetry_space_group_name_H-M 'P -4 m 2'
_symmetry_Int_Tables_number 115
_cell_length_a 4.0653
_cell_length_b 4.0653
_cell_length_c 9.8225
_cell_angle_alpha 90.00
_cell_angle_beta 90.00
_cell_angle_gamma 90.00
loop_
_symmetry_equiv_pos_as_xyz
'x,y,z'
'y,-x,-z'
'-x,-y,z'
'-y,x,-z'
'-x,y,z'
'-y,-x,-z'
'x,-y,z'
'y,x,-z'
loop_
_atom_site_label
_atom_site_fract_x
_atom_site_fract_y
_atom_site_fract_z
Pr1 0.0000 0.5000 0.2409
Si1 0.0000 0.0000 0.0000
Si2 0.0000 0.5000 0.6301
Si3 0.5000 0.5000 0.0000
Ni1 0.0000 0.5000 0.8784
Ni2 0.5000 0.5000 0.5000
Ru1 0.0000 0.0000 0.5000
# calculated density: 6.87 Mg/m³
# magnetization: 0.00 μB/cell
# total energy: -6.5908 eV/atom
# formation energy from raw total energies: -8.04 eV per formula unit



# Pr2Si3Ni12Ru | Alexandria via LeMat-Bulk | PBE | optimized geometry
data_Pr2Si3Ni12Ru
_chemical_formula_sum 'Pr6 Si9 Ni36 Ru3'
_symmetry_space_group_name_H-M 'R -3 m'
_symmetry_Int_Tables_number 166
_symmetry_space_group_name_Hall '-R 3 2"'
_cell_length_a 7.6580
_cell_length_b 7.6580
_cell_length_c 17.1619
_cell_angle_alpha 90.00
_cell_angle_beta 90.00
_cell_angle_gamma 120.00
loop_
_atom_site_label
_atom_site_fract_x
_atom_site_fract_y
_atom_site_fract_z
Pr1 0.0000 0.0000 0.1075
Si1 0.0000 0.5000 0.0000
Ni1 0.0087 0.5043 0.8710
Ni2 0.0466 0.5233 0.3781
Ru1 0.0000 0.0000 0.5000
# calculated density: 6.70 Mg/m³
# magnetization: 4.90 μB/cell
# total energy: -5.6132 eV/atom
# formation energy from raw total energies: 3.44 eV per formula unit



# PrSmNiRu | Alexandria via LeMat-Bulk | PBE | optimized geometry
data_PrSmNiRu
_chemical_formula_sum 'Pr2 Sm2 Ni2 Ru2'
_symmetry_space_group_name_H-M 'A m m 2'
_symmetry_Int_Tables_number 38
_cell_length_a 4.0906
_cell_length_b 4.0698
_cell_length_c 10.8654
_cell_angle_alpha 90.00
_cell_angle_beta 90.00
_cell_angle_gamma 90.00
loop_
_symmetry_equiv_pos_as_xyz
'x,y,z'
'-x,-y,z'
'-x,y,z'
'x,-y,z'
'x,y+1/2,z+1/2'
'-x,-y+1/2,z+1/2'
'-x,y+1/2,z+1/2'
'x,-y+1/2,z+1/2'
loop_
_atom_site_label
_atom_site_fract_x
_atom_site_fract_y
_atom_site_fract_z
Pr1 0.0000 0.0000 0.0000
Sm1 0.5000 0.0000 0.2852
Ni1 0.5000 0.0000 0.5792
Ru1 0.0000 0.0000 0.7147
# calculated density: 8.28 Mg/m³
# magnetization: 0.00 μB/cell
# total energy: -6.3832 eV/atom



# TbPrNiRu | Alexandria via LeMat-Bulk | PBE | optimized geometry
data_TbPrNiRu
_chemical_formula_sum 'Tb4 Pr4 Ni4 Ru4'
_symmetry_space_group_name_H-M 'F -4 3 m'
_symmetry_Int_Tables_number 216
_symmetry_space_group_name_Hall 'F -4 2 3'
_cell_length_a 6.9465
_cell_length_b 6.9465
_cell_length_c 6.9465
_cell_angle_alpha 90.00
_cell_angle_beta 90.00
_cell_angle_gamma 90.00
loop_
_atom_site_label
_atom_site_fract_x
_atom_site_fract_y
_atom_site_fract_z
Tb1 0.0000 0.0000 0.0000
Pr1 0.0000 0.0000 0.5000
Ni1 0.2500 0.2500 0.7500
Ru1 0.2500 0.2500 0.2500
# calculated density: 9.11 Mg/m³
# magnetization: 0.00 μB/cell
# total energy: -6.3483 eV/atom
# polymorph energy (0 for the lowest one): 43 meV per atom



# TbPrNiRu | Alexandria via LeMat-Bulk | PBE | optimized geometry
data_TbPrNiRu
_chemical_formula_sum 'Tb2 Pr2 Ni2 Ru2'
_symmetry_space_group_name_H-M 'A m m 2'
_symmetry_Int_Tables_number 38
_cell_length_a 4.0533
_cell_length_b 4.0417
_cell_length_c 10.8067
_cell_angle_alpha 90.00
_cell_angle_beta 90.00
_cell_angle_gamma 90.00
loop_
_symmetry_equiv_pos_as_xyz
'x,y,z'
'-x,-y,z'
'-x,y,z'
'x,-y,z'
'x,y+1/2,z+1/2'
'-x,-y+1/2,z+1/2'
'-x,y+1/2,z+1/2'
'x,-y+1/2,z+1/2'
loop_
_atom_site_label
_atom_site_fract_x
_atom_site_fract_y
_atom_site_fract_z
Tb1 0.0000 0.0000 0.0000
Pr1 0.5000 0.0000 0.7144
Ni1 0.0000 0.0000 0.2958
Ru1 0.5000 0.0000 0.4330
# calculated density: 8.62 Mg/m³
# magnetization: 0.00 μB/cell
# total energy: -6.3917 eV/atom
# polymorph energy (0 for the lowest one): 0 meV per atom



# PrTmNiRu | Alexandria via LeMat-Bulk | PBE | optimized geometry
data_PrTmNiRu
_chemical_formula_sum 'Pr4 Tm4 Ni4 Ru4'
_symmetry_space_group_name_H-M 'F -4 3 m'
_symmetry_Int_Tables_number 216
_symmetry_space_group_name_Hall 'F -4 2 3'
_cell_length_a 6.8861
_cell_length_b 6.8861
_cell_length_c 6.8861
_cell_angle_alpha 90.00
_cell_angle_beta 90.00
_cell_angle_gamma 90.00
loop_
_atom_site_label
_atom_site_fract_x
_atom_site_fract_y
_atom_site_fract_z
Pr1 0.0000 0.0000 0.0000
Tm1 0.0000 0.0000 0.5000
Ni1 0.2500 0.2500 0.2500
Ru1 0.2500 0.2500 0.7500
# calculated density: 9.55 Mg/m³
# magnetization: 0.00 μB/cell
# total energy: -6.3480 eV/atom



# Pr2NiS | Alexandria via LeMat-Bulk | PBE | optimized geometry
data_Pr2NiS
_chemical_formula_sum 'Pr6 Ni3 S3'
_symmetry_space_group_name_H-M 'R 3 m'
_symmetry_Int_Tables_number 160
_symmetry_space_group_name_Hall 'R 3 -2"'
_cell_length_a 3.9982
_cell_length_b 3.9982
_cell_length_c 21.8689
_cell_angle_alpha 90.00
_cell_angle_beta 90.00
_cell_angle_gamma 120.00
loop_
_atom_site_label
_atom_site_fract_x
_atom_site_fract_y
_atom_site_fract_z
Pr1 0.0000 0.0000 0.0000
Pr2 0.0000 0.0000 0.1793
Ni1 0.0000 0.0000 0.5898
S1 0.0000 0.0000 0.4224
# calculated density: 6.13 Mg/m³
# magnetization: 0.00 μB/cell
# total energy: -5.8310 eV/atom
# formation energy from raw total energies: -3.86 eV per formula unit
# polymorph energy (0 for the lowest one): 171 meV per atom